[1]
# PBE Er3CrGa12, relaxed
data_Er3CrGa12
_chemical_formula_sum 'Er3 Cr1 Ga12'
_space_group_name_H-M_alt 'P 1'
_space_group_IT_number 1
_cell_length_a 4.218
_cell_length_b 4.218
_cell_length_c 16.477
_cell_angle_alpha 90.00
_cell_angle_beta 90.00
_cell_angle_gamma 90.00
loop_
_space_group_symop_operation_xyz
'x,y,z'
loop_
_atom_site_label
_atom_site_fract_x
_atom_site_fract_y
_atom_site_fract_z
_atom_site_occupancy
Er1 0.000 0.000 0.000 1
Er2 0.000 0.000 0.262 1
Er3 0.000 0.000 0.738 1
Cr1 0.000 0.000 0.500 1
Ga1 0.000 0.500 0.130 1
Ga2 0.000 0.500 0.392 1
Ga3 0.000 0.500 0.608 1
Ga4 0.000 0.500 0.870 1
Ga5 0.500 0.000 0.130 1
Ga6 0.500 0.000 0.392 1
Ga7 0.500 0.000 0.608 1
Ga8 0.500 0.000 0.870 1
Ga9 0.500 0.500 0.000 1
Ga10 0.500 0.500 0.255 1
Ga11 0.500 0.500 0.500 1
Ga12 0.500 0.500 0.745 1
# Volume = 18.3 Å³/atom
# DFT formation energy = -375.3 meV per atom

[2]
# PBE Er4CrGa12, relaxed
data_Er4CrGa12
_chemical_formula_sum 'Er4 Cr1 Ga12'
_space_group_name_H-M_alt 'P 1'
_space_group_IT_number 1
_cell_length_a 7.434
_cell_length_b 7.434
_cell_length_c 7.434
_cell_angle_alpha 109.47
_cell_angle_beta 109.47
_cell_angle_gamma 109.47
loop_
_space_group_symop_operation_xyz
'x,y,z'
loop_
_atom_site_label
_atom_site_fract_x
_atom_site_fract_y
_atom_site_fract_z
_atom_site_occupancy
Er1 0.000 0.000 0.500 1
Er2 0.000 0.500 0.000 1
Er3 0.500 0.000 0.000 1
Er4 0.500 0.500 0.500 1
Cr1 0.000 0.000 0.000 1
Ga1 0.000 0.288 0.288 1
Ga2 0.000 0.712 0.712 1
Ga3 0.250 0.500 0.750 1
Ga4 0.250 0.750 0.500 1
Ga5 0.288 0.000 0.288 1
Ga6 0.288 0.288 0.000 1
Ga7 0.500 0.250 0.750 1
Ga8 0.500 0.750 0.250 1
Ga9 0.712 0.000 0.712 1
Ga10 0.712 0.712 0.000 1
Ga11 0.750 0.250 0.500 1
Ga12 0.750 0.500 0.250 1
# Volume = 18.6 Å³/atom
# DFT formation energy = -485.4 meV per atom